This record from Alexandria describes AlSn2As2 after structural relaxation. The functional is PBE-GGA.

Calculated values
The value obtained for the formation energy is 0.138 eV per atom. Its space group is P4/mbm, No. 127. The density of states at the Fermi level comes out at 5.19 states/eV/cell. Its final energy is -0.14962 Ha/atom. The calculation puts the mass density at 5.78 g/cm³.

a b c (Å): 7.568 7.568 4.158
angles (deg): 90.00 90.00 90.00
Positions (direct):
Al (0.000, 0.000, 0.000)
Al (0.500, 0.500, 0.000)
Sn (0.145, 0.355, 0.500)
Sn (0.355, 0.855, 0.500)
Sn (0.645, 0.145, 0.500)
Sn (0.855, 0.645, 0.500)
As (0.177, 0.677, 0.000)
As (0.323, 0.177, 0.000)
As (0.677, 0.823, 0.000)
As (0.823, 0.323, 0.000)